Record 1
Compound: CaCe2ErP4
Source: Alexandria via LeMat-Bulk
Functional: PBE
Structure: optimized geometry

abc: 4.0839 6.9915 7.0941
angles: 70.36 90.00 90.00
Closest atoms and distances in Å follow each position.
Element x y z (fractional)
Er 0.0000 0.5000 0.5000  6 P 2.86-2.87
P 0.0000 0.7573 0.7406  3 Ce 2.83-2.89, 1 Er 2.87, 2 Ca 2.93
P 0.5000 0.7497 0.2564  3 Ce 2.84-2.90, 2 Er 2.86, 1 Ca 2.91
Ce 0.0000 0.0000 0.0000  6 P 2.89-2.90
P 0.5000 0.2503 0.7436  3 Ce 2.84-2.90, 2 Er 2.86, 1 Ca 2.91
P 0.0000 0.2427 0.2594  3 Ce 2.83-2.89, 1 Er 2.87, 2 Ca 2.93
Ca 0.5000 0.5000 0.0000  6 P 2.91-2.93
Ce 0.5000 0.0000 0.5000  6 P 2.83-2.84

Values from the calculation:
As for the total magnetization: 0.87 μB/cell. Its formation energy is -1.43 eV per atom. For the density of states at the Fermi level, the calculation gives 7.7 states/eV per cell.

=====

Record 2
Compound: TlH2Pd3
Source: Alexandria via LeMat-Bulk
Functional: PBE
Structure: optimized geometry

abc: 6.0945 5.6671 6.1968
angles: 117.21 119.46 90.00
Closest atoms and distances in Å follow each position.
Element x y z (fractional)
H 0.7634 0.6167 0.2334  4 Pd 1.95-1.98
Pd 0.0000 0.7593 0.0000  2 H 1.95
H 0.2366 0.3833 0.7666  4 Pd 1.95-1.98
Pd 0.0000 0.0000 0.5000  4 H 1.98
Pd 0.5000 0.7407 0.0000  2 H 1.95
Tl 0.4123 0.7500 0.5000  6 Pd 2.88-2.90, 2 Tl 3.03, 2 H 3.20
Pd 0.0000 0.5000 0.5000  4 H 1.98
Tl 0.5877 0.2500 0.5000  6 Pd 2.88-2.90, 2 Tl 3.03, 2 H 3.20
Pd 0.5000 0.2593 0.0000  2 H 1.95
H 0.9700 0.1167 0.2334  4 Pd 1.95-1.98
H 0.0300 0.8833 0.7666  4 Pd 1.95-1.98
Pd 0.0000 0.2407 0.0000  2 H 1.95

Values from the calculation:
As for the total magnetization: 0.00 μB/cell. For the density of states at the Fermi level, the calculation gives 3.8 states/eV per cell. The raw total energy is -4.140 eV per atom.

=====

Record 3
Compound: MnAs2PRu
Source: Alexandria via LeMat-Bulk
Functional: PBE
Structure: optimized geometry

abc: 4.5385 4.2144 4.5385
angles: 90.00 90.00 90.00
Closest atoms and distances in Å follow each position.
Element x y z (fractional)
P 0.0000 0.5000 0.0000  2 Mn 2.11
Ru 0.5000 0.5000 0.5000  8 As 3.10, 4 P 3.21
As 0.0000 0.0000 0.5000  2 Mn 2.27
As 0.5000 0.0000 0.0000  2 Mn 2.27
Mn 0.0000 0.0000 0.0000  2 P 2.11, 4 As 2.27

Values from the calculation:
As for the total magnetization: 0.00 μB/cell. Its formation energy is 0.77 eV per atom. For the density of states at the Fermi level, the calculation gives 3.9 states/eV per cell.

=====

Record 4
Compound: Na2BiRhC
Source: Alexandria via LeMat-Bulk
Functional: PBE
Structure: optimized geometry

abc: 6.0334 4.3617 6.0334
angles: 90.00 90.00 90.00
Closest atoms and distances in Å follow each position.
Element x y z (fractional)
Na 0.0000 0.0000 0.5000  2 Bi 3.02
Bi 0.0000 0.0000 0.0000  2 C 2.18
C 0.0000 0.5000 0.0000  2 Bi 2.18
Na 0.5000 0.0000 0.0000  2 Bi 3.02
Rh 0.5000 0.5000 0.5000  8 Na 3.72

Values from the calculation:
As for the total magnetization: 1.61 μB/cell. Its formation energy is 1.66 eV per atom. For the density of states at the Fermi level, the calculation gives 4.8 states/eV per cell.

=====

Record 5
Compound: TaTcO2F
Source: Alexandria via LeMat-Bulk
Functional: PBE
Structure: optimized geometry

abc: 4.0092 4.0092 4.2083
angles: 90.00 90.00 90.00
Closest atoms and distances in Å follow each position.
Element x y z (fractional)
O 0.0000 0.5000 0.0000  2 Ta 2.00
Ta 0.0000 0.0000 0.0000  4 O 2.00, 2 F 2.10
O 0.5000 0.0000 0.0000  2 Ta 2.00
Tc 0.5000 0.5000 0.5000  4 F 2.83, 8 O 2.91
F 0.0000 0.0000 0.5000  2 Ta 2.10

Values from the calculation:
Its raw formation energy is -1.1167 eV per atom. As for the total magnetization: 3.46 μB/cell. For the density of states at the Fermi level, the calculation gives 2.0 states/eV per cell.

=====

Record 6
Compound: Cu4Ru3
Source: Alexandria via LeMat-Bulk
Functional: PBE
Structure: optimized geometry

abc: 12.8021 12.8021 12.8021
angles: 167.99 167.99 17.02
Closest atoms and distances in Å follow each position.
Element x y z (fractional)
Cu 0.8601 0.8601 0.0000  8 Cu 2.54-2.68, 4 Ru 2.68
Cu 0.4270 0.4270 0.0000  8 Cu 2.54-2.68, 4 Ru 2.65
Ru 0.0000 0.0000 0.0000  8 Cu 2.65, 4 Ru 2.68
Ru 0.2853 0.2853 0.0000  8 Ru 2.61-2.68, 4 Cu 2.68
Ru 0.7147 0.7147 0.0000  8 Ru 2.61-2.68, 4 Cu 2.68
Cu 0.1399 0.1399 0.0000  8 Cu 2.54-2.68, 4 Ru 2.68
Cu 0.5730 0.5730 0.0000  8 Cu 2.54-2.68, 4 Ru 2.65

Values from the calculation:
As for the total magnetization: 0.00 μB/cell. Its formation energy is 0.19 eV per atom. For the density of states at the Fermi level, the calculation gives 7.3 states/eV per cell.

=====

Record 7
Compound: Ti4HgH2
Source: Alexandria via LeMat-Bulk
Functional: PBE
Structure: optimized geometry

abc: 4.9064 4.9064 6.1504
angles: 66.49 66.49 90.00
Closest atoms and distances in Å follow each position.
Element x y z (fractional)
H 0.5634 0.5634 0.8731  1 H 1.29
H 0.4366 0.4366 0.1269  1 H 1.29
Ti 0.5000 0.0000 0.0000  2 Hg 2.45, 4 H 2.54
Ti 0.7377 0.7377 0.5246  1 H 1.77
Ti 0.2623 0.2623 0.4754  1 H 1.77
Hg 0.0000 0.0000 0.0000  6 Ti 2.45-2.66
Ti 0.0000 0.5000 0.0000  2 Hg 2.45, 4 H 2.54

Values from the calculation:
As for the total magnetization: 4.11 μB/cell. For the density of states at the Fermi level, the calculation gives 6.7 states/eV per cell. The raw total energy is -4.686 eV per atom.

=====

Record 8
Compound: K2Rb2Cd
Source: Alexandria via LeMat-Bulk
Functional: PBE
Structure: optimized geometry

abc: 5.4639 5.4639 12.6838
angles: 77.56 77.56 90.00
Closest atoms and distances in Å follow each position.
Element x y z (fractional)
Rb 0.5859 0.5859 0.8283  1 Rb 4.15, 4 Cd 4.39
Cd 0.0000 0.0000 0.0000  8 Rb 4.39
Rb 0.4141 0.4141 0.1717  1 Rb 4.15, 4 Cd 4.39
K 0.2500 0.7500 0.5000  4 K 3.86
K 0.7500 0.2500 0.5000  4 K 3.86

Values from the calculation:
As for the total magnetization: 0.00 μB/cell. Its formation energy is 0.14 eV per atom. For the density of states at the Fermi level, the calculation gives 2.8 states/eV per cell.

=====

Record 9
Compound: U4N
Source: Alexandria via LeMat-Bulk
Functional: PBE
Structure: optimized geometry

abc: 4.6397 4.6397 4.6397
angles: 90.00 90.00 90.00
Closest atoms and distances in Å follow each position.
Element x y z (fractional)
U 0.5000 0.5000 0.0000  2 N 2.32
U 0.0000 0.5000 0.5000  2 N 2.32
U 0.5000 0.0000 0.5000  2 N 2.32
N 0.5000 0.5000 0.5000  6 U 2.32
U 0.0000 0.0000 0.0000  12 U 3.28

Values from the calculation:
Its raw formation energy is -0.1210 eV per atom. As for the total magnetization: 5.74 μB/cell. For the density of states at the Fermi level, the calculation gives 16.5 states/eV per cell.

=====

Record 10
Compound: Er2SiGe2Rh5
Source: Alexandria via LeMat-Bulk
Functional: PBE
Structure: optimized geometry

abc: 3.5277 9.6629 9.6629
angles: 90.00 90.00 90.00
Closest atoms and distances in Å follow each position.
Element x y z (fractional)
Er 0.0000 0.6734 0.1734  3 Ge 2.74-2.93, 2 Rh 2.95
Si 0.0000 0.5000 0.5000  8 Rh 2.70
Er 0.0000 0.8266 0.6734  3 Ge 2.74-2.93, 2 Rh 2.95
Rh 0.5000 0.7011 0.4351  2 Ge 2.50, 2 Si 2.70
Ge 0.0000 0.3738 0.1262  6 Rh 2.47-2.50, 1 Er 2.74
Er 0.0000 0.3266 0.8266  3 Ge 2.74-2.93, 2 Rh 2.95
Rh 0.5000 0.7989 0.9351  2 Ge 2.50, 2 Si 2.70
Rh 0.5000 0.0000 0.5000  4 Ge 2.47
Rh 0.5000 0.5649 0.7011  2 Ge 2.50, 2 Si 2.70
Rh 0.5000 0.2989 0.5649  2 Ge 2.50, 2 Si 2.70
Rh 0.5000 0.4351 0.2989  2 Ge 2.50, 2 Si 2.70
Ge 0.0000 0.6262 0.8738  6 Rh 2.47-2.50, 1 Er 2.74
Si 0.0000 0.0000 0.0000  8 Rh 2.70
Rh 0.5000 0.5000 0.0000  4 Ge 2.47
Rh 0.5000 0.9351 0.2011  2 Ge 2.50, 2 Si 2.70
Er 0.0000 0.1734 0.3266  3 Ge 2.74-2.93, 2 Rh 2.95
Rh 0.5000 0.2011 0.0649  2 Ge 2.50, 2 Si 2.70
Ge 0.0000 0.1262 0.6262  6 Rh 2.47-2.50, 1 Er 2.74
Rh 0.5000 0.0649 0.7989  2 Ge 2.50, 2 Si 2.70
Ge 0.0000 0.8738 0.3738  6 Rh 2.47-2.50, 1 Er 2.74

Values from the calculation:
Its raw formation energy is -0.7902 eV per atom. As for the total magnetization: 0.00 μB/cell. For the density of states at the Fermi level, the calculation gives 9.1 states/eV per cell.

=====

Record 11
Compound: Sc3MoI
Source: Alexandria via LeMat-Bulk
Functional: PBE
Structure: optimized geometry

abc: 5.1360 5.1360 5.1360
angles: 90.00 90.00 90.00
Closest atoms and distances in Å follow each position.
Element x y z (fractional)
Mo 0.5000 0.5000 0.5000  12 Sc 3.63
Sc 0.0000 0.0000 0.5000  2 I 2.57
I 0.0000 0.0000 0.0000  6 Sc 2.57
Sc 0.5000 0.0000 0.0000  2 I 2.57
Sc 0.0000 0.5000 0.0000  2 I 2.57

Values from the calculation:
Its raw formation energy is 1.0410 eV per atom. As for the total magnetization: 0.00 μB/cell. For the density of states at the Fermi level, the calculation gives 4.8 states/eV per cell.